Computed, not measured: a geometry-optimized ZrTl2P structure at the PBE level of DFT.

Energy of formation = 296 meV per atom
Density = 9.513 g/cm3
Magnetization = 0.00 μB/atom
Uncorrected energy = -4.377 eV/atom

Structure (POSCAR):
```
ZrTl2P
1.0
1.756 1.014 8.677
-1.756 1.014 8.677
0.000 -2.028 8.677
Zr Tl P
1 2 1
direct
0.000 0.000 0.000 Zr
0.240 0.240 0.240 Tl
0.760 0.760 0.760 Tl
0.500 0.500 0.500 P
```

---

Computed, not measured: a geometry-optimized Pm3NdEr6Th2 structure at the PBE level of DFT.

Energy of formation = 25 meV per atom
Density = 8.848 g/cm3
Magnetization = 0.00 μB/atom
Uncorrected energy = -5.078 eV/atom

Structure (POSCAR):
```
Pm3NdEr6Th2
1.0
3.103 -5.373 0.000
3.103 5.373 0.000
-2.075 0.000 11.518
Pm Nd Er Th
3 1 6 2
direct
0.000 0.000 0.000 Pm
0.334 0.666 0.000 Pm
0.666 0.334 0.000 Pm
0.500 0.500 0.500 Nd
0.079 0.418 0.254 Er
0.244 0.244 0.747 Er
0.418 0.079 0.254 Er
0.582 0.921 0.746 Er
0.756 0.756 0.253 Er
0.921 0.582 0.746 Er
0.167 0.833 0.500 Th
0.833 0.167 0.500 Th
```

---

Computed, not measured: a geometry-optimized Hf2NbOsPd structure at the PBE level of DFT.

Energy of formation = 1177 meV per atom
Density = 10.982 g/cm3
Magnetization = 0.00 μB/atom
Uncorrected energy = -8.103 eV/atom

Structure (POSCAR):
```
Hf2NbOsPd
1.0
4.891 0.000 0.000
0.000 4.891 0.000
0.000 0.000 4.719
Hf Nb Os Pd
2 1 1 1
direct
0.000 0.500 0.000 Hf
0.500 0.000 0.000 Hf
0.000 0.000 0.500 Nb
0.500 0.500 0.500 Os
0.000 0.000 0.000 Pd
```